Version A
# SmY3In2

Crystalline SmY3In2 at its relaxed geometry (PBE-GGA, Alexandria via LeMat-Bulk).

abc: 5.4383 16.9223 3.7494
angles: 90.00 90.00 90.00
Closest atoms and distances in Å follow each position.
Element x y z (fractional)
Sm: 0.0000 0.0000 0.0000  8 Y 3.30-3.57
Sm: 0.5000 0.5000 0.0000  8 Y 3.30-3.57
Y: 0.0000 0.1793 0.5000  6 In 3.33-3.39, 2 Sm 3.57, 2 Y 3.62
Y: 0.0000 0.5000 0.5000  4 In 3.21, 4 Sm 3.30
Y: 0.0000 0.8207 0.5000  6 In 3.33-3.39, 2 Sm 3.57, 2 Y 3.62
Y: 0.5000 0.0000 0.5000  4 In 3.21, 4 Sm 3.30
Y: 0.5000 0.3207 0.5000  6 In 3.33-3.39, 2 Sm 3.57, 2 Y 3.62
Y: 0.5000 0.6793 0.5000  6 In 3.33-3.39, 2 Sm 3.57, 2 Y 3.62
In: 0.0000 0.3459 0.0000  8 Y 3.21-3.39
In: 0.0000 0.6541 0.0000  8 Y 3.21-3.39
In: 0.5000 0.1541 0.0000  8 Y 3.21-3.39
In: 0.5000 0.8459 0.0000  8 Y 3.21-3.39

## Properties
- total magnetic moment (Bohr magnetons per cell) = 1.57

Version B
# SmY3In2

Crystalline SmY3In2 at its relaxed geometry (PBE-GGA, Alexandria via LeMat-Bulk).

abc: 5.2451 9.8478 6.7575
angles: 90.00 90.00 90.00
Closest atoms and distances in Å follow each position.
Element x y z (fractional)
Sm: 0.0000 0.0367 0.0000  5 In 3.29-3.60, 2 Sm 3.46, 4 Y 3.53-3.68
Sm: 0.0000 0.9633 0.5000  5 In 3.29-3.60, 2 Sm 3.46, 4 Y 3.53-3.68
Y: 0.0000 0.3216 0.6548  4 In 3.16-3.22, 2 Y 3.52
Y: 0.0000 0.6784 0.1548  4 In 3.16-3.22, 2 Y 3.52
Y: 0.5000 0.1819 0.2787  5 In 3.21-3.58, 2 Sm 3.53, 1 Y 3.59
Y: 0.5000 0.4611 0.9363  5 In 3.26-3.61, 5 Y 3.46-3.59
Y: 0.5000 0.5389 0.4363  5 In 3.26-3.61, 5 Y 3.46-3.59
Y: 0.5000 0.8181 0.7787  5 In 3.21-3.58, 2 Sm 3.53, 1 Y 3.59
In: 0.0000 0.3578 0.1812  6 Y 3.16-3.26, 1 Sm 3.39
In: 0.0000 0.6422 0.6812  6 Y 3.16-3.26, 1 Sm 3.39
In: 0.5000 0.1454 0.7515  6 Y 3.21-3.58, 2 Sm 3.29
In: 0.5000 0.8546 0.2515  6 Y 3.21-3.58, 2 Sm 3.29

## Properties
- total magnetic moment (Bohr magnetons per cell) = 0.00

The most stable of them is version B.

Version A
# Sm3Y2In4

Crystalline Sm3Y2In4 at its relaxed geometry (PBE-GGA, Alexandria via LeMat-Bulk).

abc: 5.3394 5.3394 10.3237
angles: 90.07 90.07 60.07
Closest atoms and distances in Å follow each position.
Element x y z (fractional)
Sm: 0.0000 0.0000 0.0000  8 In 3.25-3.57
Sm: 0.3334 0.3334 0.5772  4 In 3.18-3.33, 3 Sm 3.47
Sm: 0.6666 0.6666 0.4228  4 In 3.18-3.33, 3 Sm 3.47
Y: 0.3331 0.3331 0.2217  7 In 3.33-3.34, 4 Sm 3.67-3.72
Y: 0.6669 0.6669 0.7783  7 In 3.33-3.34, 4 Sm 3.67-3.72
In: 0.9998 0.9998 0.3455  3 Sm 3.18-3.19, 1 In 3.19, 3 Y 3.34
In: 0.0002 0.0002 0.6545  3 Sm 3.18-3.19, 1 In 3.19, 3 Y 3.34
In: 0.3336 0.3336 0.8996  4 Sm 3.25-3.33, 4 Y 3.33
In: 0.6664 0.6664 0.1004  4 Sm 3.25-3.33, 4 Y 3.33

## Properties
- total magnetic moment (Bohr magnetons per cell) = 0.00

Version B
# Sm3Y2In4

Crystalline Sm3Y2In4 at its relaxed geometry (PBE-GGA, Alexandria via LeMat-Bulk).

abc: 8.5897 8.5897 9.8345
angles: 90.00 90.00 130.77
Closest atoms and distances in Å follow each position.
Element x y z (fractional)
Sm: 0.0000 0.0000 0.0000  6 In 3.05
Sm: 0.0283 0.4717 0.2500  5 In 3.17-3.27
Sm: 0.4717 0.0283 0.7500  5 In 3.17-3.27
Sm: 0.5000 0.5000 0.5000  6 In 3.05
Sm: 0.5283 0.9717 0.2500  5 In 3.17-3.27
Sm: 0.9717 0.5283 0.7500  5 In 3.17-3.27
Y: 0.1059 0.8941 0.4554  3 In 3.17-3.27, 1 Y 3.42
Y: 0.3941 0.6059 0.9554  3 In 3.17-3.27, 1 Y 3.42
Y: 0.6059 0.3941 0.0446  3 In 3.17-3.27, 1 Y 3.42
Y: 0.8941 0.1059 0.5446  3 In 3.17-3.27, 1 Y 3.42
In: 0.1950 0.8050 0.0196  5 Sm 3.05-3.23, 1 Y 3.17
In: 0.2374 0.2626 0.2500  3 Sm 3.05-3.27, 2 Y 3.27
In: 0.2626 0.2374 0.7500  3 Sm 3.05-3.27, 2 Y 3.27
In: 0.3050 0.6950 0.5196  5 Sm 3.05-3.23, 1 Y 3.17
In: 0.6950 0.3050 0.4804  5 Sm 3.05-3.23, 1 Y 3.17
In: 0.7374 0.7626 0.2500  3 Sm 3.05-3.27, 2 Y 3.27
In: 0.7626 0.7374 0.7500  3 Sm 3.05-3.27, 2 Y 3.27
In: 0.8050 0.1950 0.9804  5 Sm 3.05-3.23, 1 Y 3.17

## Properties
- total magnetic moment (Bohr magnetons per cell) = 0.00

The most stable of them is version A.

Version A
# Sm8Y2In

Crystalline Sm8Y2In at its relaxed geometry (PBE-GGA, Alexandria via LeMat-Bulk).

abc: 9.4618 9.4618 8.0386
angles: 105.03 105.03 30.78
Closest atoms and distances in Å follow each position.
Element x y z (fractional)
Sm: 0.0444 0.0444 0.2263  9 Sm 3.51-3.64, 1 Y 3.55, 2 In 3.57
Sm: 0.1352 0.1352 0.6766  7 Sm 3.54-3.63, 2 In 3.54, 3 Y 3.60-3.62
Sm: 0.3208 0.3208 0.5917  1 In 3.54, 8 Sm 3.54-3.67, 3 Y 3.58-3.62
Sm: 0.4105 0.4105 0.0583  1 In 3.49, 8 Sm 3.51-3.67, 3 Y 3.56-3.62
Sm: 0.5895 0.5895 0.9417  1 In 3.49, 8 Sm 3.51-3.67, 3 Y 3.56-3.62
Sm: 0.6792 0.6792 0.4083  1 In 3.54, 8 Sm 3.54-3.67, 3 Y 3.58-3.62
Sm: 0.8648 0.8648 0.3234  7 Sm 3.54-3.63, 2 In 3.54, 3 Y 3.60-3.62
Sm: 0.9556 0.9556 0.7737  9 Sm 3.51-3.64, 1 Y 3.55, 2 In 3.57
Y: 0.2240 0.2240 0.1344  10 Sm 3.55-3.62, 2 Y 3.60
Y: 0.7760 0.7760 0.8656  10 Sm 3.55-3.62, 2 Y 3.60
In: 0.5000 0.5000 0.5000  12 Sm 3.49-3.57

## Properties
- total magnetic moment (Bohr magnetons per cell) = 0.00

Version B
# Sm8Y2In

Crystalline Sm8Y2In at its relaxed geometry (PBE-GGA, Alexandria via LeMat-Bulk).

abc: 9.9176 9.9176 9.9176
angles: 147.61 134.54 56.92
Closest atoms and distances in Å follow each position.
Element x y z (fractional)
Sm: 0.1354 0.3637 0.7717  1 In 3.16, 2 Y 3.42, 1 Sm 3.50
Sm: 0.1790 0.1790 0.0000  8 Sm 3.54-3.70, 4 Y 3.55-3.84
Sm: 0.2595 0.0000 0.2595  2 In 3.41, 7 Sm 3.65-3.70
Sm: 0.4081 0.6363 0.7717  1 In 3.16, 2 Y 3.42, 1 Sm 3.50
Sm: 0.5919 0.3637 0.2283  1 In 3.16, 2 Y 3.42, 1 Sm 3.50
Sm: 0.7405 0.0000 0.7405  2 In 3.41, 7 Sm 3.65-3.70
Sm: 0.8210 0.8210 0.0000  8 Sm 3.54-3.70, 4 Y 3.55-3.84
Sm: 0.8646 0.6363 0.2283  1 In 3.16, 2 Y 3.42, 1 Sm 3.50
Y: 0.3069 0.8069 0.5000  8 Sm 3.42-3.63
Y: 0.6931 0.1931 0.5000  8 Sm 3.42-3.63
In: 0.0000 0.5000 0.5000  8 Sm 3.16-3.41

## Properties
- total magnetic moment (Bohr magnetons per cell) = 0.00

The most stable of them is version A.